[1]
DFT (PBE) results for crystalline LiTlF2 at its relaxed geometry.

a = 7.074 Å, b = 7.074 Å, c = 7.074 Å
α = 26.26°, β = 26.26°, γ = 26.26°
Sites, in units of the cell vectors:
1 Li 0.000 0.000 0.000
2 Tl 0.500 0.500 0.500
3 F 0.385 0.385 0.385
4 F 0.615 0.615 0.615

Summary:
Raw total energy in eV/atom: -4.050
Uncorrected formation energy in eV per atom: -2.044
Volume in Å³ per atom: 15.27
Energy above the lowest structure with this stoichiometry in meV per atom: 263



[2]
DFT (PBE) results for crystalline Ba2SiI at its relaxed geometry.

a = 13.257 Å, b = 13.257 Å, c = 4.447 Å
α = 90.00°, β = 90.00°, γ = 157.32°
Sites, in units of the cell vectors:
1 Ba 0.058 0.942 0.750
2 Ba 0.335 0.665 0.750
3 Ba 0.665 0.335 0.250
4 Ba 0.942 0.058 0.250
5 Si 0.472 0.528 0.750
6 Si 0.528 0.472 0.250
7 I 0.194 0.806 0.750
8 I 0.806 0.194 0.250

Summary:
Raw total energy in eV/atom: -3.521
Uncorrected formation energy in eV per atom: -0.817
Volume in Å³ per atom: 37.66
Energy above the lowest structure with this stoichiometry in meV per atom: 0